Record 1
Below is crystalline NaGaW at its relaxed geometry, with properties calculated at the PBE-GGA level.

The calculation puts the theoretical density at 7.4 g cm⁻³. The calculation puts the volume at 248.40 Å³ per cell. Its energy above the most stable polymorph in this dataset is 0.00 eV/f.u.

It has space group F-43m (No. 216), with a = 6.286 Å, b = 6.286 Å, c = 6.286 Å, α = 90.00°, β = 90.00° and γ = 90.00°. The inequivalent atoms are Na at (0.000, 0.000, 0.000), Ga at (0.250, 0.250, 0.250) and W at (0.000, 0.000, 0.500).

---

Record 2
Below is crystalline CdCoSnS3 at its relaxed geometry, with properties calculated at the PBE-GGA level.

The calculation puts the theoretical density at 5.2 g cm⁻³. The calculation puts the volume at 494.92 Å³ per cell. Its energy above the most stable polymorph in this dataset is 0.39 eV/f.u.

It has space group Cmcm (No. 63), with a = 3.757 Å, b = 12.888 Å, c = 10.220 Å, α = 90.00°, β = 90.00° and γ = 90.00°. The inequivalent atoms are Cd at (0.000, 0.000, 0.000), Co at (0.000, 0.473, 0.250), Sn at (0.000, 0.240, 0.750), S at (0.000, 0.075, 0.250) and S at (0.000, 0.360, 0.079).

---

Record 3
Below is crystalline NaHfAuO3 at its relaxed geometry, with properties calculated at the PBE-GGA level.

The calculation puts the theoretical density at 8.6 g cm⁻³. The calculation puts the total DFT energy (no corrections) at -7.05 eV per atom. The calculation puts the volume at 344.07 Å³ per cell.

It has space group Pnma (No. 62), with a = 12.233 Å, b = 3.192 Å, c = 8.812 Å, α = 90.00°, β = 90.00° and γ = 90.00°. The inequivalent atoms are Na at (0.217, 0.250, 0.127), Hf at (0.038, 0.250, 0.837), Au at (0.103, 0.250, 0.472), O at (0.054, 0.250, 0.249), O at (0.092, 0.750, 0.975) and O at (0.160, 0.250, 0.691).

---

Record 4
Below is crystalline SmTc4P2 at its relaxed geometry, with properties calculated at the PBE-GGA level.

The calculation puts the theoretical density at 9.0 g cm⁻³. The calculation puts the total DFT energy (no corrections) at -8.85 eV per atom. The calculation puts the volume at 223.89 Å³ per cell.

It has space group Cmmm (No. 65), with a = 4.068 Å, b = 13.668 Å, c = 4.027 Å, α = 90.00°, β = 90.00° and γ = 90.00°. The inequivalent atoms are Sm at (0.000, 0.000, 0.000), Tc at (0.000, 0.184, 0.500), Tc at (0.000, 0.308, 0.000) and P at (0.000, 0.412, 0.500).

---

Record 5
Below is crystalline Zr2ReNi at its relaxed geometry, with properties calculated at the PBE-GGA level.

The calculation puts the theoretical density at 10.2 g cm⁻³. The calculation puts the volume at 277.21 Å³ per cell. Its formation energy is -0.0024 eV per atom.

It has space group Amm2 (No. 38), with a = 4.674 Å, b = 5.493 Å, c = 10.798 Å, α = 90.00°, β = 90.00° and γ = 90.00°. The inequivalent atoms are Zr at (0.000, 0.000, 0.000), Zr at (0.000, 0.245, 0.249), Zr at (0.500, 0.000, 0.611), Re at (0.500, 0.229, 0.881), Ni at (0.000, 0.000, 0.491) and Ni at (0.500, 0.000, 0.147).

---

Record 6
Below is crystalline Tb3Cd3InAg2 at its relaxed geometry, with properties calculated at the PBE-GGA level.

The calculation puts the theoretical density at 8.9 g cm⁻³. The calculation puts the total DFT energy (no corrections) at -3.13 eV per atom. The calculation puts the volume at 214.74 Å³ per cell.

It has space group P-62m (No. 189), with a = 8.0658 Å, b = 8.0658 Å, c = 3.8114 Å, α = 90.00°, β = 90.00° and γ = 120.00°. The inequivalent atoms are Tb at (0.0000, 0.4025, 0.0000), Cd at (0.0000, 0.7207, 0.5000), In at (0.0000, 0.0000, 0.0000) and Ag at (0.3333, 0.6667, 0.5000).